No. 1
# In3IrF PBE-GGA optimized geometry
# Calculated total energy ... -3.79 eV per atom
# ΔE to the lowest computed polymorph ... 594 meV per atom
# N(E_F) ... 8.69 states/eV per cell
# Total magnetic moment ... 0.0 μB/f.u.
data_In3IrF
_chemical_formula_sum 'In3 Ir1 F1'
_cell_length_a 4.6966
_cell_length_b 4.6966
_cell_length_c 4.6966
_cell_angle_alpha 90.00
_cell_angle_beta 90.00
_cell_angle_gamma 90.00
_space_group_name_H-M_alt 'P m -3 m'
_space_group_IT_number 221
_space_group_name_Hall '-P 4 2 3'
loop_
_atom_site_label
_atom_site_type_symbol
_atom_site_fract_x
_atom_site_fract_y
_atom_site_fract_z
In1 In 0.0000 0.0000 0.5000
Ir1 Ir 0.5000 0.5000 0.5000
F1 F 0.0000 0.0000 0.0000

***

No. 2
# InIrF3 PBE-GGA optimized geometry
# Calculated total energy ... -4.02 eV per atom
# ΔE to the lowest computed polymorph ... 337 meV per atom
# N(E_F) ... 4.61 states/eV per cell
# Total magnetic moment ... 2.7 μB/f.u.
data_InIrF3
_chemical_formula_sum 'In1 Ir1 F3'
_cell_length_a 4.3281
_cell_length_b 4.3281
_cell_length_c 4.3281
_cell_angle_alpha 90.00
_cell_angle_beta 90.00
_cell_angle_gamma 90.00
_space_group_name_H-M_alt 'P m -3 m'
_space_group_IT_number 221
_space_group_name_Hall '-P 4 2 3'
loop_
_atom_site_label
_atom_site_type_symbol
_atom_site_fract_x
_atom_site_fract_y
_atom_site_fract_z
In1 In 0.0000 0.0000 0.0000
Ir1 Ir 0.5000 0.5000 0.5000
F1 F 0.0000 0.0000 0.5000

***

No. 3
# InIr3F PBE-GGA optimized geometry
# Calculated total energy ... -4.03 eV per atom
# ΔE to the lowest computed polymorph ... 1147 meV per atom
# N(E_F) ... 8.38 states/eV per cell
# Total magnetic moment ... 4.2 μB/f.u.
data_InIr3F
_chemical_formula_sum 'In1 Ir3 F1'
_cell_length_a 4.9806
_cell_length_b 4.9806
_cell_length_c 4.9806
_cell_angle_alpha 90.00
_cell_angle_beta 90.00
_cell_angle_gamma 90.00
_space_group_name_H-M_alt 'P m -3 m'
_space_group_IT_number 221
_space_group_name_Hall '-P 4 2 3'
loop_
_atom_site_label
_atom_site_type_symbol
_atom_site_fract_x
_atom_site_fract_y
_atom_site_fract_z
In1 In 0.0000 0.0000 0.0000
Ir1 Ir 0.0000 0.0000 0.5000
F1 F 0.5000 0.5000 0.5000